1.
Ca2TaBe | the Alexandria database | PBE | optimized geometry; spin magnetization = 1.0 Bohr magnetons per cell; crystal system = tetragonal; ΔE_f = 894 meV per atom; calculated total energy = -4.002 eV/atom; SG = P4/mmm, No. 123
1.0
-3.491 -2.057 -1.364
2.231 -3.641 -0.219
-1.190 -1.003 4.558
Ca Be Ta
2 1 1
Direct
0.000 0.000 0.000
0.500 0.500 0.000
0.000 0.500 0.500
0.500 0.000 0.500

***

2.
CaTa2Be | the Alexandria database | PBE | optimized geometry; spin magnetization = 0.0 Bohr magnetons per cell; crystal system = monoclinic; ΔE_f = 591 meV per atom; calculated total energy = -6.767 eV/atom; SG = Cm, No. 8
1.0
4.878 -0.010 0.000
3.960 2.847 0.000
1.038 0.333 5.811
Be Ta Ca
1 2 1
Direct
0.489 0.489 0.579
0.763 0.763 0.736
0.016 0.016 0.921
0.232 0.232 0.264

***

3.
Ca2TaBe | the Alexandria database | PBE | optimized geometry; spin magnetization = 4.5 Bohr magnetons per cell; crystal system = tetragonal; ΔE_f = 1093 meV per atom; calculated total energy = -3.803 eV/atom; SG = I-42d, No. 122
1.0
8.233 0.000 0.000
0.000 8.233 0.000
4.116 4.116 2.801
Be Ca Ta
2 4 2
Direct
0.250 0.750 0.500
0.500 0.500 0.000
0.178 0.625 0.250
0.375 0.428 0.750
0.875 0.822 0.750
0.572 0.125 0.250
0.000 0.000 0.000
0.750 0.250 0.500

***

4.
CaTaBe2 | the Alexandria database | PBE | optimized geometry; spin magnetization = 0.0 Bohr magnetons per cell; crystal system = tetragonal; ΔE_f = 401 meV per atom; calculated total energy = -4.926 eV/atom; SG = P4/mmm, No. 123
1.0
4.727 0.029 0.000
-0.030 4.727 0.000
0.000 0.000 2.807
Ta Be Ca
1 2 1
Direct
0.000 0.500 0.500
0.000 0.000 0.000
0.500 0.500 0.000
0.500 0.000 0.500

***

5.
CaTa2Be | the Alexandria database | PBE | optimized geometry; spin magnetization = 0.0 Bohr magnetons per cell; crystal system = tetragonal; ΔE_f = 415 meV per atom; calculated total energy = -6.943 eV/atom; SG = P4mm, No. 99
1.0
2.891 0.000 0.000
0.000 2.891 0.000
0.000 0.000 8.829
Be Ca Ta
1 1 2
Direct
0.000 0.000 0.468
0.500 0.500 0.713
0.500 0.500 0.289
0.000 0.000 0.030

***

6.
CaTaBe3 | the Alexandria database | PBE | optimized geometry; spin magnetization = 0.0 Bohr magnetons per cell; crystal system = cubic; ΔE_f = 1005 meV per atom; calculated total energy = -4.001 eV/atom; SG = Pm-3m, No. 221
1.0
4.621 0.000 0.000
0.000 4.621 0.000
0.000 0.000 4.621
Ca Be Ta
1 3 1
Direct
0.500 0.500 0.500
0.500 0.000 0.000
0.000 0.500 0.000
0.000 0.000 0.500
0.000 0.000 0.000

***

7.
CaTa3Be | the Alexandria database | PBE | optimized geometry; spin magnetization = 0.0 Bohr magnetons per cell; crystal system = cubic; ΔE_f = 2853 meV per atom; calculated total energy = -5.404 eV/atom; SG = Pm-3m, No. 221
1.0
4.692 0.000 0.000
0.000 4.692 0.000
0.000 0.000 4.692
Be Ta Ca
1 3 1
Direct
0.500 0.500 0.500
0.500 0.000 0.000
0.000 0.000 0.500
0.000 0.500 0.000
0.000 0.000 0.000

***

8.
CaTa2Be | the Alexandria database | PBE | optimized geometry; spin magnetization = 0.0 Bohr magnetons per cell; crystal system = orthorhombic; ΔE_f = 698 meV per atom; calculated total energy = -6.660 eV/atom; SG = Pmmm, No. 47
1.0
3.192 0.000 0.000
0.000 4.615 0.000
0.000 0.000 5.143
Be Ta Ca
1 2 1
Direct
0.500 0.000 0.500
0.000 0.000 0.000
0.500 0.500 0.000
0.000 0.500 0.500

***

Number 1 is which compound?
Ca2TaBe

***

Look up the spin magnetization of the fourth one.
0.0 Bohr magnetons per cell